The following is a PBE calculation of Al6Zn2Mo after structural relaxation, from Alexandria.

The electronic total energy is -3.89 eV per atom. The value obtained for the calculated density is 3.91 Mg/m³. As for the space-group type: P-31m (162). The value obtained for the total magnetic moment is 0.74 Bohr magnetons per cell. The value obtained for the formation energy from the elements is 9.2 kJ/mol of atoms.

CIF file:
```
data_Al6Zn2Mo
_chemical_formula_sum 'Al6 Zn2 Mo1'
_space_group_name_H-M_alt 'P 1'
_space_group_IT_number 1
_space_group_name_Hall 'P 1'
_cell_length_a 5.167
_cell_length_b 5.167
_cell_length_c 7.138
_cell_angle_alpha 90.00
_cell_angle_beta 90.00
_cell_angle_gamma 120.00
loop_
_atom_site_label
_atom_site_type_symbol
_atom_site_fract_x
_atom_site_fract_y
_atom_site_fract_z
Al1 Al 0.000 0.494 0.312
Al2 Al 0.000 0.506 0.688
Al3 Al 0.494 0.000 0.312
Al4 Al 0.494 0.494 0.688
Al5 Al 0.506 0.000 0.688
Al6 Al 0.506 0.506 0.312
Zn1 Zn 0.333 0.667 0.000
Zn2 Zn 0.667 0.333 0.000
Mo1 Mo 0.000 0.000 0.500
```